(1)
First-principles (PBE-GGA) data for a relaxed Ho8AgAu2 crystal, as listed in the Alexandria database.

Properties
DFT formation energy   -365 meV/atom
DOS at the Fermi energy   10.640 states/eV/cell
SG   No. 12

a = 5.087 Å, b = 6.898 Å, c = 9.228 Å
α = 105.23°, β = 106.00°, γ = 90.00°
Element x y z (fractional)
Ho (0.408, 0.541, 0.817)
Ho (0.668, 0.972, 0.335)
Ho (0.800, 0.678, 0.599)
Ho (0.970, 0.227, 0.939)
Ho (0.200, 0.322, 0.401)
Ho (0.332, 0.028, 0.665)
Ho (0.592, 0.459, 0.183)
Ho (0.030, 0.773, 0.061)
Ag (0.500, 0.000, 0.000)
Au (0.814, 0.275, 0.628)
Au (0.186, 0.725, 0.372)

(2)
First-principles (PBE-GGA) data for a relaxed YBiO2 crystal, as listed in the Alexandria database.

Properties
DOS at the Fermi energy   0.521 states/eV/cell
Energy relative to the elements, uncorrected   -2383 meV/atom
SG   No. 166

a = 7.209 Å, b = 7.209 Å, c = 7.209 Å
α = 28.08°, β = 28.08°, γ = 28.08°
Element x y z (fractional)
Y (0.500, 0.500, 0.500)
Bi (0.000, 0.000, 0.000)
O (0.885, 0.885, 0.885)
O (0.115, 0.115, 0.115)

no.,electronic total energy (eV per atom),V (Å³ per cell)
1,-4.55,299
2,-7.45,73